# 1
First-principles (PBE with a Hubbard U) data for a relaxed structure of SrMnGe2O6, as listed in Alexandria.

POSCAR file:
```
SrMnGe2O6
1.0
5.2634 -4.7698 0.0000
5.2634 4.7698 0.0000
-1.4474 0.0000 5.4169
Sr Mn Ge O
2 2 4 12
Cartesian
4.1779 2.9495 4.0627
4.9015 -2.9495 1.3542
4.9015 0.8978 1.3542
4.1779 -0.8978 4.0627
1.1640 0.9108 4.2338
1.8877 -0.9108 1.5253
7.1917 0.9108 3.8916
7.9154 -0.9108 1.1831
3.3213 2.3584 1.7330
1.5159 0.2158 0.1007
0.7922 -0.2158 2.8091
2.8535 0.8359 4.6677
6.4817 2.3584 0.9754
3.5772 -0.8359 1.9592
5.5022 0.8359 3.4577
2.5977 -2.3584 4.4415
6.2259 -0.8359 0.7492
8.2872 0.2158 2.6078
7.5635 -0.2158 5.3163
5.7580 -2.3584 3.6839
```

Output
- Energy: -6.844 eV/atom

***

# 2
First-principles (PBE with a Hubbard U) data for a relaxed structure of TiBe2CrF, as listed in Alexandria.

POSCAR file:
```
TiBe2CrF
1.0
4.3680 0.0000 0.0000
0.0000 4.3680 0.0000
0.0000 0.0000 4.6046
Ti Be Cr F
1 2 1 1
Cartesian
0.0000 0.0000 0.0000
0.0000 2.1840 2.3023
2.1840 0.0000 2.3023
0.0000 0.0000 2.3023
2.1840 2.1840 0.0000
```

Output
- Energy: -3.991 eV/atom

***

Among the records above, which one has the highest energy?
TiBe2CrF